First-principles (PBE-GGA) data for an optimized crystal structure of CuPtO3, as listed in the Alexandria database.

As for the calculated volume: 10.35 Å³/atom. For the uncorrected formation energy, the calculation gives 0.547 eV/atom.

a b c (Å): 3.726 3.726 3.726
angles (deg): 90.00 90.00 90.00
Space group Pm-3m (No. 221)
Inequivalent atoms, fractional coordinates:
Cu1 0.000 0.000 0.000 x1
Pt1 0.500 0.500 0.500 x1
O1 0.000 0.000 0.500 x3